Record 1
Computed, not measured: Y2GaPt5 after structural relaxation at the GGA-PBE level of DFT.

Calculated values
raw total energy	-6.732	eV/atom
space-group type	I4mm, No. 107
formation energy from the elements	-962	meV/atom

Cell: 5.910 5.910 5.906 Å, 120.03 120.02 89.91°
Fractional positions:
1 Y 0.236 0.736 0.472
2 Y 0.736 0.236 0.472
3 Ga 0.146 0.146 0.293
4 Pt 0.721 0.241 0.962
5 Pt 0.241 0.241 0.961
6 Pt 0.722 0.722 0.963
7 Pt 0.241 0.721 0.962
8 Pt 0.735 0.735 0.470

=====

Record 2
Computed, not measured: NbHgTeN2 after structural relaxation at the GGA-PBE level of DFT.

Calculated values
ΔE_f (raw)	2.12	eV/atom
raw total energy	-3.911	eV/atom
energy relative to the lowest polymorph listed for this composition	1784.9	meV per atom
space-group type	P4/mmm, No. 123

Cell: 4.115 5.887 4.115 Å, 90.00 90.00 90.00°
Fractional positions:
1 Nb 0.000 0.500 0.000
2 Te 0.500 0.500 0.500
3 Hg 0.000 0.000 0.000
4 N 0.000 0.000 0.500
5 N 0.500 0.000 0.000

=====

Record 3
Computed, not measured: K2Be2Te3 after structural relaxation at the GGA-PBE level of DFT.

Calculated values
ΔE_f (raw)	-0.62	eV/atom
raw total energy	-3.342	eV/atom
space-group type	C2/c, No. 15

Cell: 7.169 11.467 11.467 Å, 80.21 70.74 70.74°
Fractional positions:
1 K 0.870 0.015 0.190
2 K 0.370 0.190 0.015
3 K 0.750 0.293 0.707
4 K 0.750 0.567 0.433
5 K 0.250 0.433 0.567
6 K 0.250 0.707 0.293
7 K 0.630 0.810 0.985
8 K 0.130 0.985 0.810
9 Be 0.659 0.346 0.194
10 Be 0.622 0.077 0.525
11 Be 0.159 0.194 0.346
12 Be 0.122 0.525 0.077
13 Be 0.878 0.475 0.923
14 Be 0.841 0.806 0.654
15 Be 0.378 0.923 0.475
16 Be 0.341 0.654 0.806
17 Te 0.771 0.247 0.391
18 Te 0.748 0.542 0.142
19 Te 0.271 0.391 0.247
20 Te 0.248 0.142 0.542
21 Te 0.849 0.261 0.986
22 Te 0.151 0.739 0.014
23 Te 0.752 0.858 0.458
24 Te 0.729 0.609 0.753
25 Te 0.349 0.986 0.261
26 Te 0.252 0.458 0.858
27 Te 0.229 0.753 0.609
28 Te 0.651 0.014 0.739